! MgCoO3 GGA+U optimized geometry; values from VASP
&SYSTEM
  ibrav = 0, nat = 10, ntyp = 3
/
ATOMIC_SPECIES
Mg 24.30 Mg.upf
Co 58.93 Co.upf
O 16.00 O.upf
CELL_PARAMETERS angstrom
5.3724 0.0012 0.0008
3.1016 4.3867 0.0008
3.1016 1.6060 4.0821
ATOMIC_POSITIONS crystal
Mg 0.6392 0.6392 0.6392
Mg 0.3608 0.3608 0.3608
Co 0.8394 0.8394 0.8394
Co 0.1606 0.1606 0.1606
O 0.5608 0.9591 0.2114
O 0.2114 0.5608 0.9591
O 0.9591 0.2114 0.5608
O 0.0409 0.7886 0.4392
O 0.7886 0.4392 0.0409
O 0.4392 0.0409 0.7886
! E_tot   -57.9 eV for the cell shown
! Space-group type   R-3 (148)
! D(E_F)   2.3 states/eV/cell

! Mg2CoO3 GGA+U optimized geometry; values from VASP
&SYSTEM
  ibrav = 0, nat = 12, ntyp = 3
/
ATOMIC_SPECIES
Mg 24.30 Mg.upf
Co 58.93 Co.upf
O 16.00 O.upf
CELL_PARAMETERS angstrom
2.9674 0.0000 0.0000
-1.4837 5.5348 -1.6246
0.0000 -0.2891 7.2626
ATOMIC_POSITIONS crystal
Mg 0.1641 0.3282 0.3301
Mg 0.8359 0.6718 0.6699
Mg 0.3350 0.6699 0.1666
Mg 0.6650 0.3301 0.8334
Co 0.5000 0.0000 0.0000
Co 0.0000 0.0000 0.5000
O 0.9711 0.9422 0.1927
O 0.0289 0.0578 0.8073
O 0.6973 0.3946 0.1412
O 0.3027 0.6054 0.8588
O 0.3598 0.7196 0.4731
O 0.6402 0.2804 0.5269
! E_tot   -70.7 eV for the cell shown
! Space-group type   C2/m (12)
! D(E_F)   0.0 states/eV/cell

Number 1: magnetic moment 1.0 μB/f.u.. Number 2: magnetic moment 3.0 μB/f.u..